Material: LaHfN
Method: DFT, PBE-GGA
State: relaxed

a b c (Å): 3.7143 3.7143 9.1446
angles (deg): 90.00 90.00 90.00
Fractional coordinates of all 6 atoms:
La1 0.0000 0.5000 0.8086
La2 0.5000 0.0000 0.1914
N1 0.0000 0.5000 0.3305
N2 0.5000 0.0000 0.6695
Hf1 0.5000 0.5000 0.5000
Hf2 0.0000 0.0000 0.5000

Output
VASP energy   -8.050 eV per atom
Total magnetization   0.0 μB/cell
Fermi-level density of states   4.235 states/eV/cell
Space group   P4/nmm
Theoretical density   8.72 g cm⁻³


Material: LiPm2Au5
Method: DFT, PBE-GGA
State: relaxed

a b c (Å): 5.1019 5.1019 7.5266
angles (deg): 109.81 109.81 90.00
Fractional coordinates of all 8 atoms:
Li1 0.0000 0.0000 0.0000
Pm1 0.7382 0.7382 0.4763
Pm2 0.2618 0.2618 0.5237
Au1 0.5000 0.5000 0.0000
Au2 0.8881 0.3881 0.7762
Au3 0.3881 0.8881 0.7762
Au4 0.1119 0.6119 0.2238
Au5 0.6119 0.1119 0.2238

Output
VASP energy   -4.098 eV per atom
Total magnetization   0.0 μB/cell
Fermi-level density of states   3.327 states/eV/cell
Space group   I4/mmm
Theoretical density   12.38 g cm⁻³


Material: As2PbCSe
Method: DFT, PBE-GGA
State: relaxed

a b c (Å): 5.5195 5.5195 5.4398
angles (deg): 90.00 90.00 90.00
Site moments in Bohr magnetons follow the coordinates.
Fractional coordinates of all 5 atoms:
Pb1 0.0000 0.0000 0.0000  0.02
As1 0.0000 0.5000 0.0000  -0.48
As2 0.5000 0.0000 0.0000  -0.48
C1 0.5000 0.5000 0.5000  0.88
Se1 0.0000 0.0000 0.5000  -0.11

Output
E above lowest polymorph   1310 meV/atom
Total magnetization   0.4 μB/cell
Fermi-level density of states   6.473 states/eV/cell
Space group   P4/mmm
Theoretical density   4.49 g cm⁻³